1.
Nd6Ni2I3Cl | PBE-GGA | optimized geometry

Cell lengths 7.3311, 12.6994, 8.1850 Å; angles 90.00, 107.30, 90.00 degrees
Space group C2/m (No. 12)
One atom of each set of equivalent atoms:
Nd 0.2004 0.0000 0.1857
Nd 0.2444 0.3191 0.1876
Ni 0.0000 0.1671 0.0000
I 0.0000 0.0000 0.5000
I 0.0000 0.3392 0.5000
Cl 0.0000 0.5000 0.0000

Results
**M_tot**: 0.00 μB per cell
**Raw formation energy**: -857 meV per atom
**Uncorrected energy**: -4.7462 eV per atom



2.
Cs3Tl2Au3 | PBE-GGA | optimized geometry

Cell lengths 9.5427, 17.3214, 7.5914 Å; angles 90.00, 90.00, 90.00 degrees
Space group Pnma (No. 62)
One atom of each set of equivalent atoms:
Cs 0.0241 0.1090 0.1385
Cs 0.1858 0.2500 0.5934
Tl 0.1188 0.5895 0.3830
Au 0.1774 0.7500 0.5542
Au 0.1791 0.0388 0.6231

Results
**M_tot**: 0.00 μB per cell
**Energy relative to the elements**: -247 meV/atom
**Uncorrected energy**: -2.3875 eV per atom



3.
CaB3As | PBE-GGA | optimized geometry

Cell lengths 4.6844, 4.6844, 4.6844 Å; angles 90.00, 90.00, 90.00 degrees
Space group Pm-3m (No. 221)
One atom of each set of equivalent atoms:
Ca 0.0000 0.0000 0.0000
B 0.0000 0.0000 0.5000
As 0.5000 0.5000 0.5000

Results
**M_tot**: 0.23 μB per cell
**Energy above the lowest structure with this stoichiometry**: 1378 meV per atom
**Energy relative to the elements**: 2691 meV/atom
**Uncorrected energy**: -2.6455 eV per atom



4.
SmErSe | PBE-GGA | optimized geometry

Cell lengths 4.2558, 4.2558, 8.3549 Å; angles 90.00, 90.00, 90.00 degrees
Space group P4/nmm (No. 129, origin choice 2)
One atom of each set of equivalent atoms:
Sm 0.2500 0.2500 0.1385
Er 0.2500 0.7500 0.5000
Se 0.2500 0.2500 0.7671

Results
**M_tot**: 0.00 μB per cell
**Energy above the lowest structure with this stoichiometry**: 129 meV per atom
**Raw formation energy**: -968 meV per atom
**Uncorrected energy**: -5.2240 eV per atom



5.
CuSbP2Cl | PBE-GGA | optimized geometry

Cell lengths 4.6505, 4.6505, 4.5291 Å; angles 90.00, 90.00, 90.00 degrees
Space group P4/mmm (No. 123)
One atom of each set of equivalent atoms:
Cu 0.0000 0.0000 0.0000
Sb 0.5000 0.5000 0.5000
P 0.0000 0.5000 0.0000
Cl 0.0000 0.0000 0.5000

Results
**M_tot**: 0.00 μB per cell
**Energy above the lowest structure with this stoichiometry**: 0 meV per atom
**Raw formation energy**: 512 meV per atom
**Uncorrected energy**: -3.6651 eV per atom



6.
RbLa3Pt | PBE-GGA | optimized geometry

Cell lengths 5.5107, 5.5107, 5.5107 Å; angles 90.00, 90.00, 90.00 degrees
Space group Pm-3m (No. 221)
One atom of each set of equivalent atoms:
Rb 0.0000 0.0000 0.0000
La 0.0000 0.0000 0.5000
Pt 0.5000 0.5000 0.5000

Results
**M_tot**: 0.00 μB per cell
**Energy above the lowest structure with this stoichiometry**: 1398 meV per atom
**Energy relative to the elements**: 1184 meV/atom
**Uncorrected energy**: -3.1745 eV per atom



7.
InCuBr | PBE-GGA | optimized geometry

Cell lengths 11.4635, 3.7319, 6.8213 Å; angles 90.00, 90.00, 90.00 degrees
Space group Amm2 (No. 38)
One atom of each set of equivalent atoms:
In 0.1410 0.0000 0.0000
Cu 0.0000 0.0000 0.6761
Cu 0.5000 0.0000 0.7756
Br 0.3497 0.0000 0.2817

Results
**M_tot**: 0.00 μB per cell
**Energy above the lowest structure with this stoichiometry**: 45 meV per atom
**Raw formation energy**: -75 meV per atom
**Uncorrected energy**: -2.9104 eV per atom



8.
AcCo2H6 | PBE-GGA | optimized geometry

Cell lengths 4.5407, 4.5407, 4.5085 Å; angles 90.00, 90.00, 120.00 degrees
Space group P6/mmm (No. 191)
One atom of each set of equivalent atoms:
Ac 0.0000 0.0000 0.0000
Co 0.3333 0.6667 0.5000
H 0.0000 0.5000 0.2753

Results
**M_tot**: 1.72 μB per cell
**Uncorrected energy**: -4.6065 eV per atom